(1)
4
Lattice="-0.187 -1.269 -3.378 0.671 -3.336 1.216 -8.363 -1.331 0.964" Properties=species:S:1:pos:R:3 comment="Pr2RhI PBE optimized geometry" m_tot_mub_per_cell=0.000 spacegroup="No. 123" raw_formation_energy_ev_per_fu=-2.8 n_ef_per_ev_atom=0.851 de_polymorph_mev_per_atom=225 pbc="T T T"
Pr -6.649 -1.059 0.767
I -3.939 -2.968 -0.599
Pr -1.714 -0.273 0.198
Rh 0.242 -2.302 -1.081

***

(2)
4
Lattice="4.090 0.000 0.000 0.000 4.109 -0.002 0.000 4.118 10.505" Properties=species:S:1:pos:R:3 comment="BaSr2Zn PBE optimized geometry" m_tot_mub_per_cell=0.000 spacegroup="No. 6" e_tot_ev_per_atom=-1.734 n_ef_per_ev_atom=0.995 pbc="T T T"
Sr 2.045 2.058 3.329
Sr 0.000 4.113 0.117
Ba 2.045 6.167 7.173
Zn 0.000 4.110 5.134

***

(3)
5
Lattice="-5.017 -0.131 -1.519 -0.641 -4.560 2.508 -1.439 2.689 4.521" Properties=species:S:1:pos:R:3 comment="CuSiSb2I PBE optimized geometry" m_tot_mub_per_cell=0.000 spacegroup="No. 123" raw_formation_energy_ev_per_fu=4.5 n_ef_per_ev_atom=0.997 de_polymorph_mev_per_atom=112 pbc="T T T"
Sb -0.320 -2.280 1.254
Sb -2.509 -0.065 -0.759
I -0.719 1.345 2.260
Cu -3.548 -1.001 2.755
Si 0.000 0.000 0.000